VASP calculation (PBE-GGA) on a relaxed Hf4ZnSiN2 crystal.

As for the final energy: -8.95 eV/atom.

It has space group P-6m2 (No. 187), with a = 3.2192 Å, b = 3.2192 Å, c = 13.5692 Å, α = 90.00°, β = 90.00° and γ = 120.00°. Symmetry generates all atoms from Hf at (0.0000, 0.0000, 0.1516), Hf at (0.6667, 0.3333, 0.3363), Zn at (0.0000, 0.0000, 0.5000), Si at (0.6667, 0.3333, 0.0000) and N at (0.3333, 0.6667, 0.2462).



VASP calculation (PBE-GGA) on a relaxed SmHf2N3 crystal.

As for the final energy: -9.97 eV/atom.

It has space group P-3m1 (No. 164), with a = 3.2743 Å, b = 3.2743 Å, c = 8.2750 Å, α = 90.00°, β = 90.00° and γ = 120.00°. Symmetry generates all atoms from Sm at (0.0000, 0.0000, 0.0000), Hf at (0.3333, 0.6667, 0.3388), N at (0.0000, 0.0000, 0.5000) and N at (0.3333, 0.6667, 0.7994).



VASP calculation (PBE-GGA) on a relaxed Hf3SnN2 crystal.

As for the final energy: -9.69 eV/atom.

It has space group P6_3/mmc (No. 194), with a = 3.2044 Å, b = 3.2044 Å, c = 20.0781 Å, α = 90.00°, β = 90.00° and γ = 120.00°. Symmetry generates all atoms from Hf at (0.0000, 0.0000, 0.0000), Hf at (0.3333, 0.6667, 0.1306), Sn at (0.0000, 0.0000, 0.2500) and N at (0.3333, 0.6667, 0.5640).



Question: Which formula does entry 3 have?
Answer: Hf3SnN2